Al2ZnRh: optimized geometry, PBEsol.

```
data_Al2ZnRh
_symmetry_space_group_name_H-M 'P 1'
_symmetry_Int_Tables_number 1
_symmetry_space_group_name_Hall 'P 1'
_cell_length_a 2.993
_cell_length_b 3.361
_cell_length_c 5.533
_cell_angle_alpha 90.00
_cell_angle_beta 90.00
_cell_angle_gamma 90.00
loop_
_atom_site_label
_atom_site_type_symbol
_atom_site_fract_x
_atom_site_fract_y
_atom_site_fract_z
Zn1 Zn 0.500 0.500 0.500
Rh1 Rh 0.500 0.500 0.000
Al1 Al 0.000 0.000 0.758
Al2 Al 0.000 0.000 0.242
```

Calculated density   6.63 Mg/m³
Fermi-level density of states   1.188 states/eV/f.u.
ΔH_f (0 K)   -0.532 eV/atom
Uncorrected energy   -20.03 eV per cell



KHgAs: optimized geometry, PBEsol.

```
data_KHgAs
_symmetry_space_group_name_H-M 'P 1'
_symmetry_Int_Tables_number 1
_symmetry_space_group_name_Hall 'P 1'
_cell_length_a 4.522
_cell_length_b 4.522
_cell_length_c 9.885
_cell_angle_alpha 90.00
_cell_angle_beta 90.00
_cell_angle_gamma 120.00
loop_
_atom_site_label
_atom_site_type_symbol
_atom_site_fract_x
_atom_site_fract_y
_atom_site_fract_z
K1 K 0.000 0.000 0.000
K2 K 0.000 0.000 0.500
As1 As 0.667 0.333 0.750
As2 As 0.333 0.667 0.250
Hg1 Hg 0.667 0.333 0.250
Hg2 Hg 0.333 0.667 0.750
```

Calculated density   5.97 Mg/m³
Fermi-level density of states   0.167 states/eV/f.u.
ΔH_f (0 K)   -0.360 eV/atom
Uncorrected energy   -15.77 eV per cell



ReSbIr2: optimized geometry, PBEsol.

```
data_ReSbIr2
_symmetry_space_group_name_H-M 'P 1'
_symmetry_Int_Tables_number 1
_symmetry_space_group_name_Hall 'P 1'
_cell_length_a 2.894
_cell_length_b 2.894
_cell_length_c 8.893
_cell_angle_alpha 80.63
_cell_angle_beta 80.63
_cell_angle_gamma 60.00
loop_
_atom_site_label
_atom_site_type_symbol
_atom_site_fract_x
_atom_site_fract_y
_atom_site_fract_z
Ir1 Ir 0.000 0.000 0.000
Ir2 Ir 0.752 0.752 0.743
Re1 Re 0.497 0.497 0.510
Sb1 Sb 0.251 0.251 0.246
```

Calculated density   18.14 Mg/m³
Fermi-level density of states   3.760 states/eV/f.u.
Uncorrected formation energy   0.435 eV per atom
Uncorrected energy   -35.80 eV per cell



Cr2SbAu: optimized geometry, PBEsol.

```
data_Cr2SbAu
_symmetry_space_group_name_H-M 'P 1'
_symmetry_Int_Tables_number 1
_symmetry_space_group_name_Hall 'P 1'
_cell_length_a 4.579
_cell_length_b 4.579
_cell_length_c 4.579
_cell_angle_alpha 60.00
_cell_angle_beta 60.00
_cell_angle_gamma 60.00
loop_
_atom_site_label
_atom_site_type_symbol
_atom_site_fract_x
_atom_site_fract_y
_atom_site_fract_z
Au1 Au 0.500 0.500 0.500
Cr1 Cr 0.000 0.000 0.000
Cr2 Cr 0.250 0.250 0.250
Sb1 Sb 0.750 0.750 0.750
```

Calculated density   10.34 Mg/m³
Fermi-level density of states   2.345 states/eV/f.u.
Uncorrected formation energy   0.424 eV per atom
Uncorrected energy   -27.27 eV per cell



Eu3Si4: optimized geometry, PBEsol.

```
data_Eu3Si4
_symmetry_space_group_name_H-M 'P 1'
_symmetry_Int_Tables_number 1
_symmetry_space_group_name_Hall 'P 1'
_cell_length_a 3.914
_cell_length_b 4.364
_cell_length_c 9.462
_cell_angle_alpha 76.67
_cell_angle_beta 78.06
_cell_angle_gamma 90.00
loop_
_atom_site_label
_atom_site_type_symbol
_atom_site_fract_x
_atom_site_fract_y
_atom_site_fract_z
Eu1 Eu 0.000 0.994 0.000
Eu2 Eu 0.686 0.179 0.629
Eu3 Eu 0.314 0.808 0.371
Si1 Si 0.861 0.355 0.279
Si2 Si 0.139 0.633 0.721
Si3 Si 0.565 0.559 0.870
Si4 Si 0.435 0.429 0.130
```

Calculated density   6.14 Mg/m³
Fermi-level density of states   13.963 states/eV/f.u.
Uncorrected formation energy   -0.668 eV per atom
Uncorrected energy   -59.36 eV per cell



BeCu2: optimized geometry, PBEsol.

```
data_BeCu2
_symmetry_space_group_name_H-M 'P 1'
_symmetry_Int_Tables_number 1
_symmetry_space_group_name_Hall 'P 1'
_cell_length_a 2.492
_cell_length_b 2.492
_cell_length_c 5.904
_cell_angle_alpha 77.82
_cell_angle_beta 77.82
_cell_angle_gamma 60.00
loop_
_atom_site_label
_atom_site_type_symbol
_atom_site_fract_x
_atom_site_fract_y
_atom_site_fract_z
Be1 Be 0.000 0.000 0.000
Cu1 Cu 0.228 0.228 0.317
Cu2 Cu 0.439 0.439 0.683
```

Calculated density   7.34 Mg/m³
Fermi-level density of states   0.823 states/eV/f.u.
ΔH_f (0 K)   -0.008 eV/atom
Uncorrected energy   -12.69 eV per cell



CrP4: optimized geometry, PBEsol.

```
data_CrP4
_symmetry_space_group_name_H-M 'P 1'
_symmetry_Int_Tables_number 1
_symmetry_space_group_name_Hall 'P 1'
_cell_length_a 5.146
_cell_length_b 5.912
_cell_length_c 5.619
_cell_angle_alpha 81.38
_cell_angle_beta 69.86
_cell_angle_gamma 64.20
loop_
_atom_site_label
_atom_site_type_symbol
_atom_site_fract_x
_atom_site_fract_y
_atom_site_fract_z
Cr1 Cr 0.058 0.883 0.750
Cr2 Cr 0.942 0.117 0.250
P1 P 0.362 0.819 0.325
P2 P 0.819 0.819 0.175
P3 P 0.638 0.181 0.675
P4 P 0.181 0.181 0.825
P5 P 0.489 0.568 0.808
P6 P 0.943 0.568 0.692
P7 P 0.511 0.432 0.192
P8 P 0.057 0.432 0.308
```

Calculated density   4.04 Mg/m³
Fermi-level density of states   0.578 states/eV/f.u.
ΔH_f (0 K)   -0.351 eV/atom
Uncorrected energy   -70.33 eV per cell



Mn2AlCr: optimized geometry, PBEsol.

```
data_Mn2AlCr
_symmetry_space_group_name_H-M 'P 1'
_symmetry_Int_Tables_number 1
_symmetry_space_group_name_Hall 'P 1'
_cell_length_a 2.514
_cell_length_b 3.918
_cell_length_c 4.722
_cell_angle_alpha 90.00
_cell_angle_beta 103.11
_cell_angle_gamma 90.00
loop_
_atom_site_label
_atom_site_type_symbol
_atom_site_fract_x
_atom_site_fract_y
_atom_site_fract_z
Cr1 Cr 0.202 0.500 0.752
Mn1 Mn 0.017 0.000 0.999
Mn2 Mn 0.778 0.500 0.251
Al1 Al 0.503 0.000 0.498
```

Calculated density   6.92 Mg/m³
Fermi-level density of states   4.005 states/eV/f.u.
ΔH_f (0 K)   -0.020 eV/atom
Uncorrected energy   -33.94 eV per cell



Bi5BrO7: optimized geometry, PBEsol.

```
data_Bi5BrO7
_symmetry_space_group_name_H-M 'P 1'
_symmetry_Int_Tables_number 1
_symmetry_space_group_name_Hall 'P 1'
_cell_length_a 5.268
_cell_length_b 8.451
_cell_length_c 23.007
_cell_angle_alpha 90.00
_cell_angle_beta 90.00
_cell_angle_gamma 108.16
loop_
_atom_site_label
_atom_site_type_symbol
_atom_site_fract_x
_atom_site_fract_y
_atom_site_fract_z
Bi1 Bi 0.059 0.664 0.059
Bi2 Bi 0.287 0.000 0.199
Bi3 Bi 0.787 0.000 0.301
Bi4 Bi 0.623 0.651 0.189
Bi5 Bi 0.377 0.349 0.811
Bi6 Bi 0.472 0.349 0.311
Bi7 Bi 0.877 0.349 0.689
Bi8 Bi 0.559 0.664 0.441
Bi9 Bi 0.441 0.336 0.559
Bi10 Bi 0.972 0.349 0.189
Bi11 Bi 0.528 0.651 0.689
Bi12 Bi 0.941 0.336 0.941
Bi13 Bi 0.213 0.000 0.699
Bi14 Bi 0.105 0.664 0.559
Bi15 Bi 0.605 0.664 0.941
Bi16 Bi 0.395 0.336 0.059
Bi17 Bi 0.895 0.336 0.441
Bi18 Bi 0.028 0.651 0.811
Bi19 Bi 0.713 0.000 0.801
Bi20 Bi 0.123 0.651 0.311
Br1 Br 0.323 0.000 0.399
Br2 Br 0.823 0.000 0.101
Br3 Br 0.677 0.000 0.601
Br4 Br 0.177 0.000 0.899
O1 O 0.597 0.629 0.849
O2 O 0.770 0.500 0.250
O3 O 0.968 0.371 0.849
O4 O 0.230 0.500 0.750
O5 O 0.387 0.836 0.747
O6 O 0.551 0.164 0.747
O7 O 0.468 0.371 0.651
O8 O 0.037 0.406 0.051
O9 O 0.097 0.629 0.651
O10 O 0.131 0.594 0.449
O11 O 0.963 0.594 0.949
O12 O 0.270 0.500 0.250
O13 O 0.449 0.836 0.253
O14 O 0.887 0.836 0.753
O15 O 0.631 0.594 0.051
O16 O 0.903 0.371 0.349
O17 O 0.369 0.406 0.949
O18 O 0.949 0.836 0.247
O19 O 0.113 0.164 0.247
O20 O 0.730 0.500 0.750
O21 O 0.032 0.629 0.151
O22 O 0.051 0.164 0.753
O23 O 0.403 0.371 0.151
O24 O 0.613 0.164 0.253
O25 O 0.532 0.629 0.349
O26 O 0.537 0.406 0.449
O27 O 0.463 0.594 0.551
O28 O 0.869 0.406 0.551
```

Calculated density   8.44 Mg/m³
Fermi-level density of states   0.000 states/eV/f.u.
Uncorrected formation energy   -1.217 eV per atom
Uncorrected energy   -303.46 eV per cell



CaTiO2: optimized geometry, PBEsol.

```
data_CaTiO2
_symmetry_space_group_name_H-M 'P 1'
_symmetry_Int_Tables_number 1
_symmetry_space_group_name_Hall 'P 1'
_cell_length_a 3.921
_cell_length_b 3.921
_cell_length_c 3.921
_cell_angle_alpha 60.00
_cell_angle_beta 60.00
_cell_angle_gamma 60.00
loop_
_atom_site_label
_atom_site_type_symbol
_atom_site_fract_x
_atom_site_fract_y
_atom_site_fract_z
Ca1 Ca 0.000 0.000 0.000
O1 O 0.250 0.250 0.250
O2 O 0.750 0.750 0.750
Ti1 Ti 0.500 0.500 0.500
```

Calculated density   4.67 Mg/m³
Fermi-level density of states   1.191 states/eV/f.u.
Uncorrected formation energy   -2.032 eV per atom
Uncorrected energy   -29.08 eV per cell



TlCu7S4: optimized geometry, PBEsol.

```
data_TlCu7S4
_symmetry_space_group_name_H-M 'P 1'
_symmetry_Int_Tables_number 1
_symmetry_space_group_name_Hall 'P 1'
_cell_length_a 3.745
_cell_length_b 7.227
_cell_length_c 7.337
_cell_angle_alpha 86.70
_cell_angle_beta 75.05
_cell_angle_gamma 75.49
loop_
_atom_site_label
_atom_site_type_symbol
_atom_site_fract_x
_atom_site_fract_y
_atom_site_fract_z
Tl1 Tl 0.244 0.494 0.511
Cu1 Cu 0.613 0.172 0.115
Cu2 Cu 0.875 0.842 0.891
Cu3 Cu 0.244 0.122 0.841
Cu4 Cu 0.198 0.907 0.144
Cu5 Cu 0.475 0.576 0.002
Cu6 Cu 0.892 0.051 0.591
Cu7 Cu 0.562 0.915 0.385
S1 S 0.841 0.674 0.165
S2 S 0.665 0.311 0.830
S3 S 0.021 0.183 0.307
S4 S 0.496 0.830 0.690
```

Calculated density   6.95 Mg/m³
Fermi-level density of states   0.008 states/eV/f.u.
Offset from the most stable computed form   0.0 meV/atom
Uncorrected formation energy   -0.181 eV per atom
Uncorrected energy   -52.68 eV per cell



Si2AgHg: optimized geometry, PBEsol.

```
data_Si2AgHg
_symmetry_space_group_name_H-M 'P 1'
_symmetry_Int_Tables_number 1
_symmetry_space_group_name_Hall 'P 1'
_cell_length_a 2.786
_cell_length_b 4.978
_cell_length_c 5.092
_cell_angle_alpha 90.00
_cell_angle_beta 90.00
_cell_angle_gamma 90.00
loop_
_atom_site_label
_atom_site_type_symbol
_atom_site_fract_x
_atom_site_fract_y
_atom_site_fract_z
Ag1 Ag 0.500 0.000 0.500
Hg1 Hg 0.000 0.500 0.500
Si1 Si 0.000 0.000 0.000
Si2 Si 0.500 0.500 0.000
```

Calculated density   8.57 Mg/m³
Fermi-level density of states   1.583 states/eV/f.u.
Uncorrected formation energy   0.403 eV per atom
Uncorrected energy   -13.76 eV per cell